VASP calculation (GGA-PBE) on an optimized crystal structure of Ac2Tm3Rh2.

Values from the calculation:
- V (Å³ per cell) = 399.4
- E_form (meV per atom) = -558
- total magnetization (μB per formula unit) = 0.000
- DOS(E_F) (states/eV/cell) = 12.44

```
data_Ac2Tm3Rh2
_chemical_formula_sum 'Ac4 Tm6 Rh4'
_cell_length_a 12.5150
_cell_length_b 3.9197
_cell_length_c 9.1990
_cell_angle_alpha 90.00
_cell_angle_beta 117.73
_cell_angle_gamma 90.00
_symmetry_space_group_name_H-M 'C 1 2/m 1'
_symmetry_Int_Tables_number 12
_symmetry_space_group_name_Hall '-C 2y'
loop_
_atom_site_label
_atom_site_type_symbol
_atom_site_fract_x
_atom_site_fract_y
_atom_site_fract_z
Ac1 Ac 0.1604 0.0000 0.2948
Tm1 Tm 0.0000 0.5000 0.5000
Tm2 Tm 0.1242 0.5000 0.9262
Rh1 Rh 0.1663 0.0000 0.7459
```